{"formula": "LaMg2HgBr", "functional": "meta-GGA SCAN", "state": "PBEsol geometry", "lattice_angstrom": [[5.0070, 0.0000, 0.0000], [0.0000, 5.0070, 0.0000], [0.0000, 0.0000, 6.1474]], "species": ["La", "Mg", "Mg", "Hg", "Br"], "frac_coords": [[0.0000, 0.0000, 0.0000], [0.0000, 0.5000, 0.5000], [0.5000, 0.0000, 0.5000], [0.5000, 0.5000, 0.5000], [0.5000, 0.5000, 0.0000]], "dos_ef_per_ev_cell": 4.0, "mass_density_g_cm3": 5.04, "crystal_system": "tetragonal", "formation_energy_uncorrected_ev_per_fu": -0.72}